Density functional theory data (GGA+U) for crystalline NbCrSnO6 at its relaxed geometry.

Raw total energy in eV/atom: -7.6249
Mass density in g/cm3: 5.68

Structure (POSCAR):
```
NbCrSnO6
1.0
5.237 0.000 0.000
-2.618 4.535 0.000
0.000 0.000 8.859
Nb Cr Sn O
2 2 2 12
direct
0.333 0.667 0.250
0.667 0.333 0.750
0.000 0.000 0.000
0.000 0.000 0.500
0.333 0.667 0.750
0.667 0.333 0.250
0.011 0.338 0.127
0.011 0.673 0.373
0.327 0.338 0.373
0.327 0.989 0.127
0.338 0.011 0.627
0.338 0.327 0.873
0.662 0.673 0.127
0.662 0.989 0.373
0.673 0.011 0.873
0.673 0.662 0.627
0.989 0.327 0.627
0.989 0.662 0.873
```